# PrSm12Dy7, optimized geometry, DFT PBE
# Polymorph energy (0 for the lowest one): 0.0 meV/atom
# Calculated density: 7.6 g/cm3
# DFT formation energy: 0.162 eV per atom
data_PrSm12Dy7
_chemical_formula_sum 'Pr3 Sm36 Dy21'
_cell_length_a 15.1723
_cell_length_b 15.1723
_cell_length_c 10.1276
_cell_angle_alpha 90.00
_cell_angle_beta 90.00
_cell_angle_gamma 120.00
_symmetry_space_group_name_H-M 'R -3'
_symmetry_Int_Tables_number 148
_symmetry_space_group_name_Hall '-R 3'
loop_
_atom_site_label
_atom_site_type_symbol
_atom_site_fract_x
_atom_site_fract_y
_atom_site_fract_z
Pr1 Pr 0.0000 0.0000 0.0000
Sm1 Sm 0.0464 0.8435 0.2511
Sm2 Sm 0.0478 0.8014 0.5770
Dy1 Dy 0.0000 0.0000 0.5000
Dy2 Dy 0.0655 0.8192 0.9244

# PrSm3Dy4, optimized geometry, DFT PBE
# Polymorph energy (0 for the lowest one): 8.1 meV/atom
# Calculated density: 7.7 g/cm3
# DFT formation energy: 0.025 eV per atom
data_PrSm3Dy4
_chemical_formula_sum 'Pr2 Sm6 Dy8'
_cell_length_a 11.523
_cell_length_b 7.320
_cell_length_c 6.314
_cell_angle_alpha 90.00
_cell_angle_beta 90.00
_cell_angle_gamma 90.00
_symmetry_space_group_name_H-M 'P m n 21'
_symmetry_Int_Tables_number 31
loop_
_symmetry_equiv_pos_as_xyz
'x,y,z'
'-x+1/2,-y,z+1/2'
'-x,y,z'
'x+1/2,-y,z+1/2'
loop_
_atom_site_label
_atom_site_type_symbol
_atom_site_fract_x
_atom_site_fract_y
_atom_site_fract_z
Pr1 Pr 0.000 0.126 0.000
Sm1 Sm 0.000 0.872 0.501
Sm2 Sm 0.250 0.128 0.335
Dy1 Dy 0.000 0.378 0.501
Dy2 Dy 0.000 0.622 0.002
Dy3 Dy 0.249 0.622 0.334

# Pr6Sm2Dy, optimized geometry, DFT PBE
# Polymorph energy (0 for the lowest one): 0.0 meV/atom
# Calculated density: 6.8 g/cm3
# DFT formation energy: 0.127 eV per atom
data_Pr6Sm2Dy
_chemical_formula_sum 'Pr12 Sm4 Dy2'
_cell_length_a 9.569
_cell_length_b 18.040
_cell_length_c 3.690
_cell_angle_alpha 90.00
_cell_angle_beta 90.00
_cell_angle_gamma 90.00
_symmetry_space_group_name_H-M 'C m m m'
_symmetry_Int_Tables_number 65
_symmetry_space_group_name_Hall '-C 2 2'
loop_
_atom_site_label
_atom_site_type_symbol
_atom_site_fract_x
_atom_site_fract_y
_atom_site_fract_z
Pr1 Pr 0.175 0.165 0.000
Pr2 Pr 0.184 0.000 0.500
Sm1 Sm 0.000 0.324 0.500
Dy1 Dy 0.000 0.500 0.000

# Pr3SmDy2, optimized geometry, DFT PBE
# Polymorph energy (0 for the lowest one): 276.7 meV/atom
# Calculated density: 6.8 g/cm3
# DFT formation energy: 0.295 eV per atom
data_Pr3SmDy2
_chemical_formula_sum 'Pr12 Sm4 Dy8'
_cell_length_a 11.542
_cell_length_b 11.646
_cell_length_c 6.531
_cell_angle_alpha 90.00
_cell_angle_beta 90.00
_cell_angle_gamma 90.00
_symmetry_space_group_name_H-M 'I m m a'
_symmetry_Int_Tables_number 74
_symmetry_space_group_name_Hall '-I 2b 2'
loop_
_atom_site_label
_atom_site_type_symbol
_atom_site_fract_x
_atom_site_fract_y
_atom_site_fract_z
Pr1 Pr 0.215 0.000 0.000
Pr2 Pr 0.250 0.250 0.250
Sm1 Sm 0.000 0.250 0.793
Dy1 Dy 0.000 0.094 0.309

# Pr4Sm5Dy4, optimized geometry, DFT PBE
# Calculated density: 7.4 g/cm3
# DFT formation energy: 0.017 eV per atom
data_Pr4Sm5Dy4
_chemical_formula_sum 'Pr8 Sm10 Dy8'
_cell_length_a 13.107
_cell_length_b 13.107
_cell_length_c 5.118
_cell_angle_alpha 90.00
_cell_angle_beta 90.00
_cell_angle_gamma 90.00
_symmetry_space_group_name_H-M 'I 4/m'
_symmetry_Int_Tables_number 87
_symmetry_space_group_name_Hall '-I 4'
loop_
_atom_site_label
_atom_site_type_symbol
_atom_site_fract_x
_atom_site_fract_y
_atom_site_fract_z
Pr1 Pr 0.078 0.618 0.000
Sm1 Sm 0.000 0.000 0.000
Sm2 Sm 0.040 0.810 0.500
Dy1 Dy 0.154 0.231 0.000

# Pr8Sm5Dy, optimized geometry, DFT PBE
# Calculated density: 6.8 g/cm3
# DFT formation energy: 0.239 eV per atom
data_Pr8Sm5Dy
_chemical_formula_sum 'Pr16 Sm10 Dy2'
_cell_length_a 9.851
_cell_length_b 9.851
_cell_length_c 10.349
_cell_angle_alpha 90.00
_cell_angle_beta 90.00
_cell_angle_gamma 90.00
_symmetry_space_group_name_H-M 'I -4'
_symmetry_Int_Tables_number 82
loop_
_symmetry_equiv_pos_as_xyz
'x,y,z'
'y,-x,-z'
'-x,-y,z'
'-y,x,-z'
'x+1/2,y+1/2,z+1/2'
'y+1/2,-x+1/2,-z+1/2'
'-x+1/2,-y+1/2,z+1/2'
'-y+1/2,x+1/2,-z+1/2'
loop_
_atom_site_label
_atom_site_type_symbol
_atom_site_fract_x
_atom_site_fract_y
_atom_site_fract_z
Pr1 Pr 0.069 0.172 0.345
Pr2 Pr 0.084 0.317 0.004
Sm1 Sm 0.000 0.500 0.250
Sm2 Sm 0.106 0.294 0.675
Dy1 Dy 0.000 0.000 0.000